Entry 1:
Compound: BeTcRh2
Source: the Alexandria database
Functional: PBE-GGA
Structure: relaxed

CIF file:
```
data_BeTcRh2
_cell_length_a 2.7545
_cell_length_b 4.3395
_cell_length_c 4.4508
_cell_angle_alpha 90.00
_cell_angle_beta 90.00
_cell_angle_gamma 90.00
_symmetry_space_group_name_H-M 'P m m m'
_symmetry_Int_Tables_number 47
_symmetry_space_group_name_Hall '-P 2 2'
loop_
_atom_site_label
_atom_site_type_symbol
_atom_site_fract_x
_atom_site_fract_y
_atom_site_fract_z
_atom_site_occupancy
Be1 Be 0.0000 0.0000 0.0000 1
Tc1 Tc 0.5000 0.0000 0.5000 1
Rh1 Rh 0.0000 0.5000 0.5000 1
Rh2 Rh 0.5000 0.5000 0.0000 1
```

For the density, the calculation gives 9.76 g/cm3. For the final energy, the calculation gives -7.115 eV/atom. The value obtained for the formation energy is 0.08 eV per atom.

Entry 2:
Compound: BeTcRh2
Source: the Alexandria database
Functional: PBE-GGA
Structure: relaxed

CIF file:
```
data_BeTcRh2
_cell_length_a 2.7662
_cell_length_b 2.7662
_cell_length_c 6.6075
_cell_angle_alpha 90.00
_cell_angle_beta 90.00
_cell_angle_gamma 90.00
_symmetry_space_group_name_H-M 'P 4 m m'
_symmetry_Int_Tables_number 99
_symmetry_space_group_name_Hall 'P 4 -2'
loop_
_atom_site_label
_atom_site_type_symbol
_atom_site_fract_x
_atom_site_fract_y
_atom_site_fract_z
_atom_site_occupancy
Be1 Be 0.0000 0.0000 0.0000 1
Tc1 Tc 0.5000 0.5000 0.7625 1
Rh1 Rh 0.0000 0.0000 0.4902 1
Rh2 Rh 0.5000 0.5000 0.1889 1
```

For the density, the calculation gives 10.27 g/cm3. For the final energy, the calculation gives -7.423 eV/atom. The value obtained for the formation energy is -0.22 eV per atom.

Entry 3:
Compound: BeTcRh
Source: the Alexandria database
Functional: PBE-GGA
Structure: relaxed

CIF file:
```
data_BeTcRh
_cell_length_a 4.1222
_cell_length_b 4.5743
_cell_length_c 4.7820
_cell_angle_alpha 67.33
_cell_angle_beta 65.48
_cell_angle_gamma 71.81
_symmetry_space_group_name_H-M 'P -1'
_symmetry_Int_Tables_number 2
_symmetry_space_group_name_Hall '-P 1'
loop_
_atom_site_label
_atom_site_type_symbol
_atom_site_fract_x
_atom_site_fract_y
_atom_site_fract_z
_atom_site_occupancy
Be1 Be 0.2009 0.2933 0.4158 1
Tc1 Tc 0.1234 0.7514 0.9062 1
Rh1 Rh 0.4185 0.7916 0.2873 1
```

The energy above the most stable polymorph in this dataset is 0.092 eV/atom. For the density, the calculation gives 9.36 g/cm3. For the final energy, the calculation gives -7.367 eV/atom. The value obtained for the formation energy is -0.22 eV per atom.